Entry 1:
{
  "formula": "BC",
  "functional": "PBE",
  "state": "relaxed",
  "e_form_ev_per_atom": 0.3463,
  "m_tot_mub_per_atom": 0.000,
  "density_g_cm3": 2.81,
  "lattice_angstrom": [[2.658, 0.000, 0.000], [0.000, 4.652, -0.172], [0.000, -0.240, 6.560]],
  "species": ["C", "C", "C", "C", "C", "C", "B", "B", "B", "B", "B", "B"],
  "frac_coords": [[0.500, 0.495, 0.232], [0.500, 0.482, 0.002], [0.500, 0.162, 0.918], [0.000, 0.009, 0.993], [0.500, 0.147, 0.682], [0.500, 0.838, 0.597], [0.000, 0.295, 0.601], [0.500, 0.811, 0.352], [0.000, 0.663, 0.942], [0.000, 0.669, 0.602], [0.000, 0.023, 0.236], [0.000, 0.407, 0.344]]
}

***

Entry 2:
{
  "formula": "BC",
  "functional": "PBE",
  "state": "relaxed",
  "e_form_ev_per_atom": 0.3571,
  "m_tot_mub_per_atom": 0.000,
  "density_g_cm3": 2.79,
  "lattice_angstrom": [[-1.979, 1.665, 0.289], [-0.695, -0.018, -4.658], [-4.180, -5.113, 0.837]],
  "species": ["C", "C", "C", "C", "C", "C", "B", "B", "B", "B", "B", "B"],
  "frac_coords": [[0.500, 0.170, 0.669], [0.500, 0.852, 0.594], [0.500, 0.163, 0.904], [0.500, 0.474, 0.252], [0.000, 0.021, 0.980], [0.000, 0.326, 0.598], [0.500, 0.799, 0.353], [0.000, 0.975, 0.213], [0.500, 0.470, 0.013], [0.000, 0.386, 0.361], [0.000, 0.691, 0.936], [0.000, 0.674, 0.627]]
}

***

Entry 3:
{
  "formula": "B3C2",
  "functional": "PBE",
  "state": "relaxed",
  "e_form_ev_per_atom": 0.3836,
  "m_tot_mub_per_atom": 0.000,
  "density_g_cm3": 2.86,
  "lattice_angstrom": [[-1.417, -1.561, 4.033], [0.932, -0.701, 4.399], [-2.391, 4.315, 5.211]],
  "species": ["B", "B", "B", "B", "B", "B", "C", "C", "C", "C"],
  "frac_coords": [[0.258, 0.258, 0.582], [0.402, 0.402, 0.806], [0.953, 0.953, 0.417], [0.598, 0.598, 0.194], [0.047, 0.047, 0.583], [0.742, 0.742, 0.418], [0.400, 0.400, 0.031], [0.794, 0.794, 0.165], [0.600, 0.600, 0.969], [0.206, 0.206, 0.835]]
}

***

Entry 4:
{
  "formula": "B9C",
  "functional": "PBE",
  "state": "relaxed",
  "e_form_ev_per_atom": 0.4890,
  "m_tot_mub_per_atom": 0.000,
  "density_g_cm3": 2.67,
  "lattice_angstrom": [[-2.162, 3.840, -0.886], [-3.787, 2.420, 0.081], [3.508, 0.257, 6.272]],
  "species": ["C", "B", "B", "B", "B", "B", "B", "B", "B", "B"],
  "frac_coords": [[0.952, 0.952, 0.232], [0.935, 0.935, 0.010], [0.563, 0.563, 0.369], [0.659, 0.659, 0.629], [0.488, 0.488, 0.857], [0.764, 0.764, 0.223], [0.783, 0.783, 0.474], [0.258, 0.258, 0.841], [0.155, 0.155, 0.011], [0.445, 0.445, 0.603]]
}

***

Entry 5:
{
  "formula": "BC",
  "functional": "PBE",
  "state": "relaxed",
  "e_form_ev_per_atom": 0.3641,
  "m_tot_mub_per_atom": 0.000,
  "density_g_cm3": 2.74,
  "lattice_angstrom": [[-0.191, -2.654, 0.359], [2.362, 0.003, 1.277], [-5.411, 1.744, 10.004]],
  "species": ["C", "C", "C", "C", "C", "C", "B", "B", "B", "B", "B", "B"],
  "frac_coords": [[0.500, 0.500, 0.840], [0.500, 0.500, 0.158], [0.000, 0.000, 0.327], [0.000, 0.000, 0.008], [0.000, 0.500, 0.083], [0.500, 0.000, 0.583], [0.500, 0.500, 0.517], [0.000, 0.500, 0.389], [0.500, 0.000, 0.919], [0.000, 0.500, 0.778], [0.500, 0.000, 0.248], [0.000, 0.000, 0.650]]
}

***

Entry 6:
{
  "formula": "BC",
  "functional": "PBE",
  "state": "relaxed",
  "e_form_ev_per_atom": 0.3768,
  "m_tot_mub_per_atom": 0.024,
  "density_g_cm3": 2.73,
  "lattice_angstrom": [[-0.965, -1.082, -4.371], [1.578, -1.580, -4.028], [-1.472, -4.975, 3.681]],
  "species": ["B", "B", "B", "B", "B", "C", "C", "C", "C", "C"],
  "frac_coords": [[0.588, 0.588, 0.410], [0.363, 0.363, 0.543], [0.474, 0.474, 0.831], [0.035, 0.035, 0.029], [0.139, 0.139, 0.817], [0.575, 0.575, 0.667], [0.810, 0.810, 0.193], [0.781, 0.781, 0.437], [0.239, 0.239, 0.072], [0.996, 0.996, 0.252]]
}

***

Entry 7:
{
  "formula": "BC",
  "functional": "PBE",
  "state": "relaxed",
  "e_form_ev_per_atom": 0.3397,
  "m_tot_mub_per_atom": 0.000,
  "density_g_cm3": 2.71,
  "lattice_angstrom": [[2.662, 0.000, 0.000], [0.000, 4.653, 0.035], [0.000, 0.045, 6.773]],
  "species": ["B", "B", "B", "B", "B", "B", "C", "C", "C", "C", "C", "C"],
  "frac_coords": [[0.000, 0.340, 0.270], [0.000, 0.989, 0.026], [0.000, 0.324, 0.636], [0.500, 0.833, 0.345], [0.500, 0.583, 0.015], [0.500, 0.124, 0.881], [0.500, 0.148, 0.655], [0.000, 0.005, 0.258], [0.500, 0.508, 0.244], [0.000, 0.658, 0.902], [0.000, 0.668, 0.673], [0.500, 0.821, 0.594]]
}

***

Entry 8:
{
  "formula": "B7C5",
  "functional": "PBE",
  "state": "relaxed",
  "e_form_ev_per_atom": 0.4622,
  "m_tot_mub_per_atom": 0.000,
  "density_g_cm3": 2.76,
  "lattice_angstrom": [[2.532, 0.000, 0.000], [-1.266, 2.193, 0.000], [0.000, 0.000, 14.694]],
  "species": ["C", "C", "C", "C", "C", "B", "B", "B", "B", "B", "B", "B"],
  "frac_coords": [[0.333, 0.667, 0.055], [0.333, 0.667, 0.161], [0.000, 0.000, 0.481], [0.000, 0.000, 0.020], [0.667, 0.333, 0.196], [0.667, 0.333, 0.304], [0.333, 0.667, 0.532], [0.000, 0.000, 0.377], [0.333, 0.667, 0.648], [0.000, 0.000, 0.912], [0.667, 0.333, 0.839], [0.667, 0.333, 0.725]]
}